Record 1
Here is an optimized crystal structure of Mg2MoRu from Alexandria. Energies are from GGA-PBE.

Output
Relative energy among the computed polymorphs in eV per atom: 0.0000
ΔE_f in eV per formula unit: -0.06

Cell lengths 3.1034, 3.1034, 7.1800 Å; angles 90.00, 90.00, 90.00 degrees
Last column: nearest neighbours and their distance in Å.
Atoms (fractional coordinates):
1 Mg 0.5000 0.5000 0.2723  4 Mo 2.89, 8 Mg 3.10
2 Mg 0.0000 0.0000 0.9679  4 Ru 2.80, 8 Mg 3.10, 1 Mo 3.11
3 Mo 0.0000 0.0000 0.5341  4 Ru 2.59, 4 Mg 2.89
4 Ru 0.5000 0.5000 0.7257  4 Mo 2.59, 4 Mg 2.80

=====

Record 2
Here is an optimized crystal structure of Ta2PtAu from Alexandria. Energies are from GGA-PBE.

Output
ΔE_f in eV per formula unit: -0.33

Cell lengths 9.7596, 9.7596, 9.7596 Å; angles 17.13, 17.13, 17.13 degrees
Last column: nearest neighbours and their distance in Å.
Atoms (fractional coordinates):
1 Au 0.4997 0.4997 0.4997  3 Ta 2.91, 6 Au 2.91, 3 Pt 2.98
2 Ta 0.2487 0.2487 0.2487  3 Au 2.91, 9 Ta 2.91-3.06
3 Pt 0.7475 0.7475 0.7475  3 Ta 2.78, 6 Pt 2.91, 3 Au 2.98
4 Ta 0.0041 0.0041 0.0041  3 Pt 2.78, 9 Ta 2.91-3.06

=====

Record 3
Here is an optimized crystal structure of CrB2Ir from Alexandria. Energies are from GGA-PBE.

Output
Relative energy among the computed polymorphs in eV per atom: 0.5320
ΔE_f in eV per formula unit: 2.55

Cell lengths 4.4871, 4.4871, 5.9524 Å; angles 67.86, 67.86, 90.00 degrees
Last column: nearest neighbours and their distance in Å.
Atoms (fractional coordinates):
1 B 0.3750 0.3678 0.7500  2 Ir 2.01, 2 Cr 2.04
2 B 0.6322 0.1250 0.2500  2 Ir 2.01, 2 Cr 2.04
3 Ir 0.0000 0.0000 0.0000  4 B 2.01
4 B 0.1178 0.6250 0.2500  2 Ir 2.01, 2 Cr 2.04
5 Cr 0.5000 0.5000 0.0000  4 B 2.04
6 B 0.8750 0.8822 0.7500  2 Ir 2.01, 2 Cr 2.04
7 Ir 0.7500 0.2500 0.5000  4 B 2.01
8 Cr 0.2500 0.7500 0.5000  4 B 2.04

=====

Record 4
Here is an optimized crystal structure of LaPm2NdHg4 from Alexandria. Energies are from GGA-PBE.

Output
ΔE_f in eV per formula unit: -3.83

Cell lengths 5.4360, 5.4360, 9.4231 Å; angles 73.24, 73.24, 60.00 degrees
Last column: nearest neighbours and their distance in Å.
Atoms (fractional coordinates):
1 Hg 0.1259 0.1259 0.6222  4 Pm 3.30-3.33, 3 Nd 3.32, 1 La 3.36
2 Hg 0.3762 0.3762 0.8715  1 Nd 3.30, 4 Pm 3.32-3.37, 3 La 3.34
3 Pm 0.7504 0.7504 0.7488  8 Hg 3.30-3.37
4 Nd 0.5000 0.5000 0.5000  8 Hg 3.30-3.32
5 Pm 0.2496 0.2496 0.2512  8 Hg 3.30-3.37
6 Hg 0.8741 0.8741 0.3778  4 Pm 3.30-3.33, 3 Nd 3.32, 1 La 3.36
7 Hg 0.6238 0.6238 0.1285  1 Nd 3.30, 4 Pm 3.32-3.37, 3 La 3.34
8 La 0.0000 0.0000 0.0000  8 Hg 3.34-3.36

=====

Record 5
Here is an optimized crystal structure of Hg2PS5 from Alexandria. Energies are from GGA-PBE.

Output
Relative energy among the computed polymorphs in eV per atom: 0.0000
E_form (uncorrected) in eV per formula unit: -0.28

Cell lengths 6.2393, 6.3279, 8.7990 Å; angles 78.65, 128.68, 97.66 degrees
Last column: nearest neighbours and their distance in Å.
Atoms (fractional coordinates):
1 S 0.4835 0.2201 0.2272  1 S 2.05
2 S 0.9777 0.7892 0.8247  1 P 2.02
3 S 0.0666 0.2510 0.0145  1 S 2.05, 1 P 2.14
4 Hg 0.4993 0.0679 0.5112  2 S 2.44-2.46
5 S 0.4975 0.0158 0.7952  1 P 2.07
6 S 0.0357 0.7579 0.2410  1 P 2.03
7 Hg 0.5343 0.7470 0.1873  3 S 2.85-3.16
8 P 0.9055 0.9282 0.9759  4 S 2.02-2.14

=====

Record 6
Here is an optimized crystal structure of ZrAlCr2 from Alexandria. Energies are from GGA-PBE.

Output
ΔE_f in eV per formula unit: 0.16

Cell lengths 3.2822, 3.2816, 5.7646 Å; angles 90.00, 90.00, 90.00 degrees
Last column: nearest neighbours and their distance in Å.
Atoms (fractional coordinates):
1 Cr 0.0000 0.0000 0.5611  1 Cr 2.18
2 Cr 0.0000 0.0000 0.9389  1 Cr 2.18
3 Al 0.5000 0.5000 0.7500  8 Cr 2.56
4 Zr 0.5000 0.5000 0.2500  2 Al 2.88, 8 Cr 2.93

=====

Number 1: VASP energy -5.84 eV/atom, total moment 0.00 μB/f.u.. Number 2: VASP energy -8.34 eV/atom, total moment 0.00 μB/f.u.. Number 3: VASP energy -7.32 eV/atom, total moment 0.00 μB/f.u.. Number 4: VASP energy -3.03 eV/atom, total moment 1.71 μB/f.u.. Number 5: VASP energy -3.37 eV/atom, total moment 0.00 μB/f.u.. Number 6: VASP energy -7.85 eV/atom, total moment 0.00 μB/f.u..